Record 1
The following is a DFT calculation (PBE) of a geometry-optimized Ac3TbSm3 structure.

a = 10.125 Å, b = 10.125 Å, c = 6.065 Å
α = 90.00°, β = 90.00°, γ = 120.00°
Fractional positions:
1 Ac 0.094 0.465 0.250
2 Ac 0.371 0.906 0.250
3 Ac 0.465 0.371 0.750
4 Ac 0.535 0.629 0.250
5 Ac 0.629 0.094 0.750
6 Ac 0.906 0.535 0.750
7 Tb 0.333 0.667 0.750
8 Tb 0.667 0.333 0.250
9 Sm 0.045 0.230 0.750
10 Sm 0.185 0.955 0.750
11 Sm 0.230 0.185 0.250
12 Sm 0.770 0.815 0.750
13 Sm 0.815 0.045 0.250
14 Sm 0.955 0.770 0.250

Computed properties:
Energy relative to the elements   0.057 eV per atom
Symmetry   P6_3/m (176)
Raw total energy   -4.388 eV/atom

Record 2
The following is a DFT calculation (PBE) of a geometry-optimized AcTb2Sm9 structure.

a = 5.151 Å, b = 5.151 Å, c = 15.486 Å
α = 90.00°, β = 90.00°, γ = 90.00°
Fractional positions:
1 Ac 0.000 0.000 0.000
2 Tb 0.000 0.000 0.336
3 Tb 0.000 0.000 0.664
4 Sm 0.000 0.500 0.173
5 Sm 0.000 0.500 0.500
6 Sm 0.000 0.500 0.827
7 Sm 0.500 0.000 0.173
8 Sm 0.500 0.000 0.500
9 Sm 0.500 0.000 0.827
10 Sm 0.500 0.500 0.000
11 Sm 0.500 0.500 0.337
12 Sm 0.500 0.500 0.663

Computed properties:
Energy relative to the elements   0.028 eV per atom
Symmetry   P4/mmm (123)
Raw total energy   -4.626 eV/atom